# MoS4, optimized geometry, DFT PBE
data_MoS4
_chemical_formula_sum 'Mo1 S4'
_cell_length_a 4.6564
_cell_length_b 4.6564
_cell_length_c 4.6564
_cell_angle_alpha 90.00
_cell_angle_beta 90.00
_cell_angle_gamma 90.00
_space_group_name_H-M_alt 'P m -3 m'
_space_group_IT_number 221
_space_group_name_Hall '-P 4 2 3'
loop_
_atom_site_label
_atom_site_fract_x
_atom_site_fract_y
_atom_site_fract_z
Mo1 0.0000 0.0000 0.0000
S1 0.0000 0.0000 0.5000
S2 0.5000 0.5000 0.5000
# volume: 101.0 Å³ per cell
# electronic total energy: -4.9994 eV/atom
# crystal system: cubic
# E_form (uncorrected): 0.469 eV per atom